Compound: TbLuTlIr
Source: Alexandria
Functional: GGA-PBE
Structure: relaxed

Cell: 5.0587 5.0587 5.0587 Å, 60.00 60.00 60.00°
Closest atoms and distances in Å follow each position.
Sites, in units of the cell vectors:
Tl  0.5000  0.5000  0.5000  4 Tb 3.10, 4 Lu 3.10
Lu  0.7500  0.7500  0.7500  4 Tl 3.10, 4 Ir 3.10
Tb  0.2500  0.2500  0.2500  4 Ir 3.10, 4 Tl 3.10
Ir  0.0000  0.0000  0.0000  4 Lu 3.10, 4 Tb 3.10

Calculated values
Its spin magnetization is 0.0 μB per formula unit. Its calculated formation energy is -0.499 eV/atom.

---

Compound: ThCuSn2Se5
Source: Alexandria
Functional: GGA-PBE
Structure: relaxed

Cell: 4.1503 9.5431 13.3789 Å, 90.00 90.00 102.56°
Closest atoms and distances in Å follow each position.
Sites, in units of the cell vectors:
Sn  0.8488  0.6977  0.8635  3 Se 2.83-2.89
Se  0.3016  0.6032  0.6863  2 Th 2.86
Sn  0.1512  0.3023  0.3635  3 Se 2.83-2.89
Cu  0.5639  0.1278  0.9178  4 Se 2.40-2.54
Se  0.3529  0.7057  0.0132  4 Sn 2.89-3.23, 1 Th 2.98
Th  0.8058  0.6117  0.5392  6 Se 2.86-2.98
Se  0.0385  0.0770  0.0038  2 Cu 2.42
Se  0.5009  0.0017  0.7617  1 Cu 2.40
Cu  0.4361  0.8722  0.4178  4 Se 2.40-2.54
Se  0.3022  0.6044  0.3836  1 Cu 2.54, 1 Sn 2.83
Sn  0.9381  0.8762  0.1549  3 Se 2.75-2.76
Th  0.1942  0.3883  0.0392  6 Se 2.86-2.98
Se  0.6471  0.2943  0.5132  4 Sn 2.89-3.23, 1 Th 2.98
Se  0.9615  0.9230  0.5038  2 Cu 2.42
Se  0.6984  0.3968  0.1863  2 Th 2.86
Se  0.6978  0.3956  0.8836  1 Cu 2.54, 1 Sn 2.83
Sn  0.0619  0.1238  0.6549  3 Se 2.75-2.76
Se  0.4991  0.9983  0.2617  1 Cu 2.40

Calculated values
Its spin magnetization is 0.0 μB per formula unit. The formation energy without anion corrections comes out at -16.9 kcal/mol of atoms.

---

Compound: BeGaO2
Source: Alexandria
Functional: GGA-PBE
Structure: relaxed

Cell: 5.7297 5.7297 5.7297 Å, 27.92 27.92 27.92°
Closest atoms and distances in Å follow each position.
Sites, in units of the cell vectors:
O  0.8887  0.8887  0.8887  1 Ga 1.84, 3 Be 1.84
Ga  0.0000  0.0000  0.0000  2 O 1.84
Be  0.5000  0.5000  0.5000  6 O 1.84
O  0.1113  0.1113  0.1113  1 Ga 1.84, 3 Be 1.84

Calculated values
Its spin magnetization is 0.0 μB per formula unit. As for the excess energy over the best structure of this formula in the dataset: 335 meV per atom. The formation energy without anion corrections comes out at -32.1 kcal/mol of atoms.

---

Compound: Ce2Pm2NiGe4
Source: Alexandria
Functional: GGA-PBE
Structure: relaxed

Cell: 6.4875 6.4875 6.4875 Å, 101.52 113.59 113.59°
Closest atoms and distances in Å follow each position.
Sites, in units of the cell vectors:
Ge  0.5326  0.7663  0.7663  1 Ni 2.35
Ce  0.0000  0.3207  0.3207  1 Ni 2.63, 1 Ce 2.94
Pm  0.5000  0.2500  0.7500  8 Ge 3.25, 4 Ce 3.60
Pm  0.5000  0.7500  0.2500  8 Ge 3.25, 4 Ce 3.60
Ni  0.0000  0.0000  0.0000  4 Ge 2.35
Ge  0.4674  0.2337  0.2337  1 Ni 2.35
Ce  0.0000  0.6793  0.6793  1 Ni 2.63, 1 Ce 2.94
Ge  0.0000  0.7663  0.2337  1 Ni 2.35
Ge  0.0000  0.2337  0.7663  1 Ni 2.35

Calculated values
Its spin magnetization is 2.4 μB per formula unit. Its calculated formation energy is -0.502 eV/atom.

---

Compound: Pr3Sm8Mg
Source: Alexandria
Functional: GGA-PBE
Structure: relaxed

Cell: 3.5940 12.0159 13.7698 Å, 46.96 105.10 89.99°
Closest atoms and distances in Å follow each position.
Sites, in units of the cell vectors:
Sm  0.0661  0.0382  0.6076  8 Sm 3.36-3.68, 2 Pr 3.72-3.73
Sm  0.8420  0.9949  0.3840  7 Sm 3.26-3.64, 2 Mg 3.61
Sm  0.4809  0.3399  0.0219  4 Sm 3.25-3.59, 1 Pr 3.33, 2 Mg 3.62-3.63
Sm  0.4917  0.3576  0.5332  7 Sm 3.57-3.68, 5 Pr 3.60-3.67
Sm  0.9464  0.6553  0.4874  4 Sm 3.26-3.65, 2 Pr 3.37-3.62, 2 Mg 3.53
Pr  0.2704  0.2817  0.8115  7 Sm 3.33-3.73, 2 Pr 3.59
Pr  0.2224  0.3465  0.2642  4 Pr 3.59-3.81, 9 Sm 3.66-3.76
Sm  0.1155  0.9791  0.1565  9 Sm 3.59-3.78, 4 Pr 3.73-3.76
Sm  0.8404  0.9679  0.8818  8 Sm 3.57-3.75, 4 Pr 3.60-3.65
Mg  0.6624  0.6726  0.7048  8 Sm 3.53-3.63, 2 Mg 3.59
Sm  0.3931  0.6694  0.9354  6 Sm 3.25-3.61, 2 Mg 3.53, 1 Pr 3.60
Pr  0.6670  0.6666  0.2082  4 Pr 3.59-3.81, 8 Sm 3.60-3.76

Calculated values
Its spin magnetization is 0.0 μB per formula unit. Its calculated formation energy is 0.044 eV/atom.

---

Compound: Nb2HAu
Source: Alexandria
Functional: GGA-PBE
Structure: relaxed

Cell: 4.9277 4.9277 6.5011 Å, 67.73 67.73 90.00°
Closest atoms and distances in Å follow each position.
Sites, in units of the cell vectors:
Au  0.7500  0.2500  0.5000  4 Nb 2.77
Nb  0.4558  0.1250  0.2500  2 H 1.89
H  0.5000  0.5000  0.0000  4 Nb 1.89
Nb  0.3750  0.5442  0.7500  2 H 1.89
Au  0.0000  0.0000  0.0000  4 Nb 2.77
Nb  0.2942  0.6250  0.2500  2 H 1.89
H  0.2500  0.7500  0.5000  4 Nb 1.89
Nb  0.8750  0.7058  0.7500  2 H 1.89

Calculated values
Its spin magnetization is 0.0 μB per formula unit. As for the excess energy over the best structure of this formula in the dataset: 334 meV per atom.

---

Compound: BaLaGaAu2
Source: Alexandria
Functional: GGA-PBE
Structure: relaxed

Cell: 5.7465 6.3505 5.7465 Å, 90.00 90.00 90.00°
Closest atoms and distances in Å follow each position.
Sites, in units of the cell vectors:
Ga  0.5000  0.5000  0.5000  4 La 4.06, 8 Au 4.28
Au  0.5000  0.0000  0.0000  2 Ba 2.87
Au  0.0000  0.0000  0.5000  2 Ba 2.87
La  0.0000  0.5000  0.0000  2 Ba 3.18
Ba  0.0000  0.0000  0.0000  4 Au 2.87, 2 La 3.18

Calculated values
Its spin magnetization is 0.5 μB per formula unit. Its calculated formation energy is 0.771 eV/atom.

---

Compound: ReHg2Pb
Source: Alexandria
Functional: GGA-PBE
Structure: relaxed

Cell: 4.9482 3.0393 5.9856 Å, 73.72 90.00 90.00°
Closest atoms and distances in Å follow each position.
Sites, in units of the cell vectors:
Pb  0.0000  0.5601  0.5418  3 Hg 3.02-3.13, 2 Pb 3.04, 4 Re 3.07-3.13
Hg  0.0000  0.8002  0.0172  2 Re 2.97, 3 Pb 3.02-3.13, 6 Hg 3.04-3.13
Hg  0.5000  0.2064  0.2099  3 Re 3.00-3.20, 6 Hg 3.04-3.13
Re  0.5000  0.9333  0.7311  5 Hg 2.97-3.20, 2 Re 3.04, 4 Pb 3.07-3.13

Calculated values
Its spin magnetization is 0.0 μB per formula unit. Its calculated formation energy is 0.839 eV/atom.

---

Compound: Ac2U3Pt12Rh
Source: Alexandria
Functional: GGA-PBE
Structure: relaxed

Cell: 7.3063 7.3063 7.3063 Å, 80.79 80.79 80.79°
Closest atoms and distances in Å follow each position.
Sites, in units of the cell vectors:
Pt  0.6057  0.0655  0.6057  2 Pt 2.69-2.72, 2 U 2.84
U  0.0000  0.5000  0.0000  8 Pt 2.84-3.06
Pt  0.2051  0.2051  0.7585  1 Rh 2.58, 1 Pt 2.69
Pt  0.7585  0.2051  0.2051  1 Rh 2.58, 1 Pt 2.69
Pt  0.0655  0.6057  0.6057  2 Pt 2.69-2.72, 2 U 2.84
Pt  0.2051  0.7585  0.2051  1 Rh 2.58, 1 Pt 2.69
Pt  0.3943  0.9345  0.3943  2 Pt 2.69-2.72, 2 U 2.84
U  0.0000  0.0000  0.5000  8 Pt 2.84-3.06
U  0.5000  0.0000  0.0000  8 Pt 2.84-3.06
Pt  0.6057  0.6057  0.0655  2 Pt 2.69-2.72, 2 U 2.84
Ac  0.6396  0.6396  0.6396  9 Pt 3.05-3.10
Rh  0.0000  0.0000  0.0000  6 Pt 2.58
Ac  0.3604  0.3604  0.3604  9 Pt 3.05-3.10
Pt  0.2415  0.7949  0.7949  1 Rh 2.58, 1 Pt 2.69
Pt  0.9345  0.3943  0.3943  2 Pt 2.69-2.72, 2 U 2.84
Pt  0.3943  0.3943  0.9345  2 Pt 2.69-2.72, 2 U 2.84
Pt  0.7949  0.7949  0.2415  1 Rh 2.58, 1 Pt 2.69
Pt  0.7949  0.2415  0.7949  1 Rh 2.58, 1 Pt 2.69

Calculated values
Its spin magnetization is 4.4 μB per formula unit. Its calculated formation energy is -0.534 eV/atom.

---

Compound: MgBeMo2
Source: Alexandria
Functional: GGA-PBE
Structure: relaxed

Cell: 4.3427 2.7154 5.1534 Å, 83.13 90.00 90.00°
Closest atoms and distances in Å follow each position.
Sites, in units of the cell vectors:
Mg  0.5000  0.6589  0.7492  2 Be 2.61, 2 Mg 2.72, 5 Mo 2.76-2.92
Mo  0.5000  0.2199  0.2598  4 Mo 2.59-2.72, 2 Be 2.68, 2 Mg 2.76-2.79
Mo  0.0000  0.0377  0.0148  1 Be 2.54, 4 Mo 2.59-2.72, 2 Mg 2.83
Be  0.0000  0.5835  0.4762  3 Mo 2.54-2.68, 2 Mg 2.61, 2 Be 2.72

Calculated values
Its spin magnetization is 0.0 μB per formula unit. Its calculated formation energy is 0.274 eV/atom. As for the excess energy over the best structure of this formula in the dataset: 76 meV per atom.